Density functional theory data (PBE) for crystalline HfTl2Pd at its relaxed geometry. Values from VASP.

Summary:
relative energy among the computed polymorphs: 0.089 eV/atom
calculated formation energy: 175.6 meV per atom

Quantum ESPRESSO input file:
```
&SYSTEM
  ibrav = 0, nat = 8, ntyp = 3
/
ATOMIC_SPECIES
Pd 106.42 Pd.upf
Tl 204.38 Tl.upf
Hf 178.49 Hf.upf
CELL_PARAMETERS angstrom
-4.8944 3.2539 5.1260
2.7761 -4.6562 5.6064
1.0229 1.3591 6.0463
ATOMIC_POSITIONS crystal
Pd 0.5000 0.5000 0.0000
Pd 0.2500 0.7500 0.5000
Tl 0.3750 0.3982 0.7500
Tl 0.6018 0.1250 0.2500
Tl 0.8750 0.8518 0.7500
Tl 0.1482 0.6250 0.2500
Hf 0.7500 0.2500 0.5000
Hf 0.0000 0.0000 0.0000
```


Density functional theory data (PBE) for crystalline ReOsPt2 at its relaxed geometry. Values from VASP.

Summary:
relative energy among the computed polymorphs: 0.620 eV/atom
calculated formation energy: 535.6 meV per atom

Quantum ESPRESSO input file:
```
&SYSTEM
  ibrav = 0, nat = 4, ntyp = 3
/
ATOMIC_SPECIES
Pt 195.08 Pt.upf
Os 190.23 Os.upf
Re 186.21 Re.upf
CELL_PARAMETERS angstrom
2.5284 -2.7470 -2.3898
1.6839 -3.6508 1.8669
-1.5423 -3.9925 -1.1537
ATOMIC_POSITIONS crystal
Pt 0.2500 0.2500 0.2500
Pt 0.7500 0.7500 0.7500
Os 0.5000 0.5000 0.5000
Re 0.0000 0.0000 0.0000
```


Density functional theory data (PBE) for crystalline HfZr2CdGa at its relaxed geometry. Values from VASP.

Summary:
calculated formation energy: 830.7 meV per atom

Quantum ESPRESSO input file:
```
&SYSTEM
  ibrav = 0, nat = 5, ntyp = 4
/
ATOMIC_SPECIES
Ga 69.72 Ga.upf
Zr 91.22 Zr.upf
Hf 178.49 Hf.upf
Cd 112.41 Cd.upf
CELL_PARAMETERS angstrom
5.1190 0.0000 0.0000
0.0000 5.1765 0.0000
0.0000 0.0000 5.1190
ATOMIC_POSITIONS crystal
Ga 0.0000 0.5000 0.0000
Zr 0.5000 0.0000 0.0000
Zr 0.0000 0.0000 0.5000
Hf 0.0000 0.0000 0.0000
Cd 0.5000 0.5000 0.5000
```


Density functional theory data (PBE) for crystalline LiLaNdTc at its relaxed geometry. Values from VASP.

Summary:
calculated formation energy: 70.9 meV per atom

Quantum ESPRESSO input file:
```
&SYSTEM
  ibrav = 0, nat = 4, ntyp = 4
/
ATOMIC_SPECIES
Nd 144.24 Nd.upf
Tc 98.00 Tc.upf
Li 6.94 Li.upf
La 138.91 La.upf
CELL_PARAMETERS angstrom
5.1103 0.0000 0.0000
2.5551 4.4256 0.0000
2.5551 1.4752 4.1725
ATOMIC_POSITIONS crystal
Nd 0.2500 0.2500 0.2500
Tc 0.5000 0.5000 0.5000
Li 0.0000 0.0000 0.0000
La 0.7500 0.7500 0.7500
```


Density functional theory data (PBE) for crystalline Hg2AuN2 at its relaxed geometry. Values from VASP.

Summary:
relative energy among the computed polymorphs: 0.000 eV/atom
formation energy (no corrections): 0.15 eV per atom

Quantum ESPRESSO input file:
```
&SYSTEM
  ibrav = 0, nat = 5, ntyp = 3
/
ATOMIC_SPECIES
N 14.01 N.upf
Hg 200.59 Hg.upf
Au 196.97 Au.upf
CELL_PARAMETERS angstrom
-2.6010 1.5051 -0.4576
-0.2802 -2.5065 1.6961
-6.9317 4.7641 16.6691
ATOMIC_POSITIONS crystal
N 0.3740 0.3727 0.5367
N 0.6260 0.6273 0.4633
Hg 0.2487 0.2503 0.1916
Hg 0.7513 0.7497 0.8084
Au 0.0000 0.0000 0.0000
```


Density functional theory data (PBE) for crystalline HfNbOs2 at its relaxed geometry. Values from VASP.

Summary:
calculated formation energy: 378.3 meV per atom

Quantum ESPRESSO input file:
```
&SYSTEM
  ibrav = 0, nat = 8, ntyp = 3
/
ATOMIC_SPECIES
Os 190.23 Os.upf
Nb 92.91 Nb.upf
Hf 178.49 Hf.upf
CELL_PARAMETERS angstrom
7.1787 0.0000 0.0000
0.0000 7.1787 0.0000
3.5894 3.5894 2.8239
ATOMIC_POSITIONS crystal
Os 0.8750 0.8599 0.7500
Os 0.1401 0.6250 0.2500
Os 0.6099 0.1250 0.2500
Os 0.3750 0.3901 0.7500
Nb 0.5000 0.5000 0.0000
Nb 0.2500 0.7500 0.5000
Hf 0.7500 0.2500 0.5000
Hf 0.0000 0.0000 0.0000
```


Density functional theory data (PBE) for crystalline SmMoN3 at its relaxed geometry. Values from VASP.

Summary:
formation energy (no corrections): -0.87 eV per atom

Quantum ESPRESSO input file:
```
&SYSTEM
  ibrav = 0, nat = 20, ntyp = 3
/
ATOMIC_SPECIES
Mo 95.94 Mo.upf
Sm 150.36 Sm.upf
N 14.01 N.upf
CELL_PARAMETERS angstrom
-0.0761 6.2574 -0.9964
-3.9406 2.8051 5.5477
5.6309 2.6625 3.9214
ATOMIC_POSITIONS crystal
Mo 0.2374 0.1995 0.3804
Mo 0.2626 0.6196 0.8005
Mo 0.7374 0.3804 0.1995
Mo 0.7626 0.8005 0.6196
Sm 0.2500 0.6952 0.3048
Sm 0.7500 0.3048 0.6952
Sm 0.2500 0.0892 0.9108
Sm 0.7500 0.9108 0.0892
N 0.3486 0.3808 0.8866
N 0.6539 0.0006 0.7763
N 0.8486 0.8866 0.3808
N 0.4589 0.3483 0.3607
N 0.0411 0.6393 0.6517
N 0.3461 0.9994 0.2237
N 0.8461 0.2237 0.9994
N 0.9589 0.3607 0.3483
N 0.5411 0.6517 0.6393
N 0.6514 0.6192 0.1134
N 0.1539 0.7763 0.0006
N 0.1514 0.1134 0.6192
```


Density functional theory data (PBE) for crystalline La3Tb2Dy6Mg at its relaxed geometry. Values from VASP.

Summary:
calculated formation energy: 34.1 meV per atom

Quantum ESPRESSO input file:
```
&SYSTEM
  ibrav = 0, nat = 12, ntyp = 4
/
ATOMIC_SPECIES
Dy 162.50 Dy.upf
La 138.91 La.upf
Tb 158.93 Tb.upf
Mg 24.30 Mg.upf
CELL_PARAMETERS angstrom
6.1931 -0.0035 0.0194
-3.0980 5.3625 0.0194
-1.0742 -1.8600 11.6314
ATOMIC_POSITIONS crystal
Dy 0.9196 0.5878 0.7565
Dy 0.4122 0.0804 0.2435
Dy 0.5878 0.9196 0.7565
Dy 0.7488 0.7488 0.2439
Dy 0.0804 0.4122 0.2435
Dy 0.2512 0.2512 0.7561
La 0.8337 0.1663 0.5000
La 0.1663 0.8337 0.5000
La 0.5000 0.5000 0.5000
Tb 0.3337 0.6663 0.0000
Tb 0.6663 0.3337 0.0000
Mg 0.0000 0.0000 0.0000
```


Number 1: spin magnetization 0.0 μB per formula unit, D(E_F) 1.96 states/eV/f.u.. Number 2: spin magnetization 0.0 μB per formula unit, D(E_F) 5.57 states/eV/f.u.. Number 3: spin magnetization 0.0 μB per formula unit, D(E_F) 3.80 states/eV/f.u.. Number 4: spin magnetization 0.0 μB per formula unit, D(E_F) 2.77 states/eV/f.u.. Number 5: spin magnetization 0.0 μB per formula unit, D(E_F) 0.96 states/eV/f.u.. Number 6: spin magnetization 0.0 μB per formula unit, D(E_F) 4.80 states/eV/f.u.. Number 7: spin magnetization 0.0 μB per formula unit, D(E_F) 0.00 states/eV/f.u.. Number 8: spin magnetization 0.0 μB per formula unit, D(E_F) 17.12 states/eV/f.u..